1.
A relaxed Rb3TaCl6 crystal. Source: Alexandria, functional PBE.

Cell: 7.8794 7.8794 7.8790 Å, 60.00 60.00 90.00°
Last column: nearest neighbours and their distance in Å.
Element x y z (fractional)
Cl1 0.7777 0.7777 0.4446  1 Ta 2.48
Cl2 0.2223 0.2223 0.5554  1 Ta 2.48
Cl3 0.2223 0.7777 0.0000  1 Ta 2.48
Cl4 0.2223 0.2223 0.0000  1 Ta 2.48
Cl5 0.7777 0.2223 0.0000  1 Ta 2.48
Cl6 0.7777 0.7777 0.0000  1 Ta 2.48
Rb1 0.5000 0.5000 0.0000  6 Cl 3.09
Rb2 0.2500 0.7500 0.5000  12 Cl 3.95
Rb3 0.7500 0.2500 0.5000  12 Cl 3.95
Ta1 0.0000 0.0000 0.0000  6 Cl 2.48

Properties
Uncorrected energy (eV per atom): -4.135
Formation energy from raw total energies (eV/atom): -1.5514
Symmetry: No. 225

---

2.
A relaxed ZrFe2 crystal. Source: Alexandria, functional PBE.

Cell: 5.1819 5.1819 6.2327 Å, 70.98 70.98 34.66°
Last column: nearest neighbours and their distance in Å.
Element x y z (fractional)
Fe1 0.1529 0.1529 0.4356  6 Fe 2.50-2.79, 2 Zr 2.71
Fe2 0.4883 0.4883 0.7216  5 Fe 2.50-2.69, 2 Zr 2.76
Fe3 0.5117 0.5117 0.2784  5 Fe 2.50-2.69, 2 Zr 2.76
Fe4 0.8471 0.8471 0.5644  6 Fe 2.50-2.79, 2 Zr 2.71
Zr1 0.8393 0.8393 0.1111  7 Fe 2.71-2.85, 3 Zr 3.00-3.02
Zr2 0.1607 0.1607 0.8889  7 Fe 2.71-2.85, 3 Zr 3.00-3.02

Properties
Uncorrected energy (eV per atom): -8.438
Symmetry: No. 12

---

| no. | size of the total moment (μB/f.u.) |
| --- | --- |
| 1 | 2.0 |
| 2 | 3.5 |